Computed, not measured: a relaxed structure of TbSc2Fe at the PBE level of DFT.

## Properties
excess energy over the best structure of this formula in the dataset	0.000	eV/atom
total magnetization	0.00	μB/f.u.
N(E_F)	1.192	states/eV/atom
formation enthalpy at 0 K	-50.0	meV/atom

extended XYZ file:
```
16
Lattice="-4.534 -3.851 -0.584 4.368 -4.844 -1.961 0.998 -2.417 8.192" Properties=species:S:1:pos:R:3 pbc="T T T"
Tb -0.209 -5.649 0.615
Tb -3.523 -4.187 1.450
Tb 1.040 -5.464 5.031
Tb 4.354 -6.925 4.196
Sc 2.261 -4.047 -0.869
Sc -0.341 -3.178 3.017
Sc -1.796 -6.179 3.509
Sc 1.538 -8.822 5.636
Sc -1.430 -7.066 6.515
Sc 1.172 -7.935 2.629
Sc 2.627 -4.934 2.137
Sc -0.707 -2.291 0.010
Fe 1.696 -2.707 1.251
Fe 2.121 -6.623 0.044
Fe -0.866 -8.406 4.395
Fe -1.290 -4.489 5.602
```

Computed, not measured: a relaxed structure of CdFe2Cl at the PBE level of DFT.

## Properties
excess energy over the best structure of this formula in the dataset	0.503	eV/atom
total magnetization	5.98	μB/f.u.
formation energy (no corrections)	0.584	eV per atom
N(E_F)	1.272	states/eV/atom

extended XYZ file:
```
8
Lattice="6.882 0.000 0.000 0.000 6.882 0.000 3.441 3.441 2.921" Properties=species:S:1:pos:R:3 pbc="T T T"
Cl 3.441 3.441 0.000
Cl 3.441 6.882 1.460
Fe 4.839 1.720 0.730
Fe 2.042 5.161 0.730
Fe 5.161 5.483 2.190
Fe 8.602 8.280 2.190
Cd 0.000 0.000 0.000
Cd 6.882 3.441 1.460
```

Computed, not measured: a relaxed structure of La7Pr12Er at the PBE level of DFT.

## Properties
total magnetization	0.00	μB/f.u.
N(E_F)	1.513	states/eV/atom
formation enthalpy at 0 K	75.5	meV/atom

extended XYZ file:
```
20
Lattice="-4.784 -7.012 -3.348 4.795 -4.357 6.426 -6.406 3.855 5.231" Properties=species:S:1:pos:R:3 pbc="T T T"
La 2.160 -3.155 4.403
La -3.097 -2.848 9.473
La -2.174 -9.038 4.585
La -3.197 -3.757 4.154
La -4.221 1.524 3.724
La -3.298 -4.666 -1.164
La -8.555 -4.359 3.906
Pr -5.671 -4.444 1.628
Pr -2.777 -6.566 1.940
Pr -3.513 -1.490 1.227
Pr -5.410 -6.721 4.505
Pr -6.093 -1.637 3.845
Pr -5.835 -3.855 6.769
Pr -0.560 -3.658 1.540
Pr -0.302 -5.877 4.464
Pr -0.985 -0.793 3.804
Pr -2.882 -6.023 7.082
Pr -3.618 -0.948 6.369
Pr -0.724 -3.069 6.681
Er 0.000 0.000 0.000
```

Computed, not measured: a relaxed structure of Cs2Th2P2Se13 at the PBE level of DFT.

## Properties
total magnetization	0.00	μB/f.u.
formation energy (no corrections)	-0.923	eV per atom

extended XYZ file:
```
152
Lattice="12.154 0.000 0.000 0.000 14.765 0.000 0.000 0.000 27.763" Properties=species:S:1:pos:R:3 pbc="T T T"
Cs 3.238 0.215 15.394
Cs 9.315 7.167 12.369
Cs 8.916 7.598 26.251
Cs 2.839 14.550 1.513
Cs 8.916 14.550 12.369
Cs 2.839 7.598 15.394
Cs 3.238 7.167 1.513
Cs 9.315 0.215 26.251
Cs 8.525 4.232 22.338
Cs 2.448 3.150 5.426
Cs 3.629 11.615 19.307
Cs 9.706 10.533 8.456
Cs 3.629 10.533 5.426
Cs 9.706 11.615 22.338
Cs 8.525 3.150 8.456
Cs 2.448 4.232 19.307
Th 3.501 0.279 23.036
Th 9.578 7.103 4.727
Th 8.654 7.662 18.608
Th 2.577 14.486 9.155
Th 8.654 14.486 4.727
Th 2.577 7.662 23.036
Th 3.501 7.103 9.155
Th 9.578 0.279 18.608
Th 3.485 3.662 25.544
Th 9.562 3.721 2.219
Th 8.670 11.045 16.101
Th 2.592 11.103 11.662
Th 8.670 11.103 2.219
Th 2.592 11.045 25.544
Th 3.485 3.721 11.662
Th 9.562 3.662 16.101
P 0.617 0.211 20.547
P 6.694 7.172 7.217
P 11.538 7.594 21.098
P 5.460 14.554 6.665
P 11.538 14.554 7.217
P 5.460 7.594 20.547
P 0.617 7.172 6.665
P 6.694 0.211 21.098
P 6.706 3.821 27.472
P 0.629 3.562 0.291
P 5.448 11.203 14.172
P 11.525 10.945 13.591
P 5.448 10.945 0.291
P 11.525 11.203 27.472
P 6.706 3.562 13.591
P 0.629 3.821 14.172
Se 5.637 1.881 26.899
Se 11.714 5.502 0.864
Se 6.517 9.264 14.746
Se 0.440 12.884 13.017
Se 6.517 12.884 0.864
Se 0.440 9.264 26.899
Se 5.637 5.502 13.017
Se 11.714 1.881 14.746
Se 5.534 2.103 21.623
Se 11.611 5.279 6.141
Se 6.621 9.486 20.022
Se 0.543 12.662 7.741
Se 6.621 12.662 6.141
Se 0.543 9.486 21.623
Se 5.534 5.279 7.741
Se 11.611 2.103 20.022
Se 2.248 3.133 22.909
Se 8.325 4.250 4.854
Se 9.906 10.516 18.736
Se 3.829 11.632 9.027
Se 9.906 11.632 4.854
Se 3.829 10.516 22.909
Se 2.248 4.250 9.027
Se 8.325 3.133 18.736
Se 2.131 12.298 22.803
Se 8.208 9.850 4.960
Se 10.024 4.915 18.841
Se 3.947 2.467 8.922
Se 10.024 2.467 4.960
Se 3.947 4.915 22.803
Se 2.131 9.850 8.922
Se 8.208 12.298 18.841
Se 2.329 0.758 25.725
Se 8.406 6.625 2.038
Se 9.825 8.140 15.920
Se 3.748 14.008 11.843
Se 9.825 14.008 2.038
Se 3.748 8.140 25.725
Se 2.329 6.625 11.843
Se 8.406 0.758 15.920
Se 4.038 13.764 25.736
Se 10.116 8.384 2.027
Se 8.116 6.382 15.909
Se 2.039 1.001 11.854
Se 8.116 1.001 2.027
Se 2.039 6.382 25.736
Se 4.038 8.384 11.854
Se 10.116 13.764 15.909
Se 5.763 2.005 24.274
Se 11.840 5.378 3.489
Se 6.391 9.388 17.371
Se 0.314 12.760 10.393
Se 6.391 12.760 3.489
Se 0.314 9.388 24.274
Se 5.763 5.378 10.393
Se 11.840 2.005 17.371
Se 2.762 0.431 20.018
Se 8.839 6.951 7.746
Se 9.393 7.814 21.627
Se 3.316 14.334 6.136
Se 9.393 14.334 7.746
Se 3.316 7.814 20.018
Se 2.762 6.951 6.136
Se 8.839 0.431 21.627
Se 5.750 13.241 22.103
Se 11.827 8.908 5.661
Se 6.404 5.858 19.542
Se 0.327 1.525 8.221
Se 6.404 1.525 5.661
Se 0.327 5.858 22.103
Se 5.750 8.908 8.221
Se 11.827 13.241 19.542
Se 0.483 3.485 25.823
Se 6.560 3.898 1.940
Se 11.671 10.867 15.822
Se 5.594 11.281 11.941
Se 11.671 11.281 1.940
Se 5.594 10.867 25.823
Se 0.483 3.898 11.941
Se 6.560 3.485 15.822
Se 2.786 3.579 0.822
Se 8.863 3.804 26.941
Se 9.368 10.962 13.060
Se 3.291 11.186 14.703
Se 9.368 11.186 26.941
Se 3.291 10.962 0.822
Se 2.786 3.804 14.703
Se 8.863 3.579 13.060
Se 0.480 0.141 22.784
Se 6.558 7.242 4.979
Se 11.674 7.523 18.861
Se 5.597 14.625 8.903
Se 11.674 14.625 4.979
Se 5.597 7.523 22.784
Se 0.480 7.242 8.903
Se 6.558 0.141 18.861
Se 5.675 5.527 26.489
Se 11.753 1.855 1.274
Se 6.479 12.910 15.156
Se 0.402 9.238 12.608
Se 6.479 9.238 1.274
Se 0.402 12.910 26.489
Se 5.675 1.855 12.608
Se 11.753 5.527 15.156
```

Computed, not measured: a relaxed structure of KLaI2 at the PBE level of DFT.

## Properties
excess energy over the best structure of this formula in the dataset	0.047	eV/atom
total magnetization	0.05	μB/f.u.
formation energy (no corrections)	-1.046	eV per atom
N(E_F)	0.839	states/eV/atom

extended XYZ file:
```
4
Lattice="-3.375 -1.469 -2.144 -1.272 -4.030 0.533 -8.485 1.497 8.098" Properties=species:S:1:pos:R:3 pbc="T T T"
I -6.325 0.460 5.409
I -6.807 -4.462 1.078
K 0.000 0.000 0.000
La -6.566 -2.001 3.243
```

Computed, not measured: a relaxed structure of Y4NpS5 at the PBE level of DFT.

## Properties
total magnetization	4.37	μB/f.u.
formation energy (no corrections)	-1.879	eV per atom
N(E_F)	0.936	states/eV/atom

extended XYZ file:
```
10
Lattice="-1.237 -3.369 1.563 3.337 -1.731 -1.089 4.718 6.049 11.874" Properties=species:S:1:pos:R:3 pbc="T T T"
Y 4.621 2.803 9.701
Y 4.522 -0.443 7.526
Y 2.296 1.393 4.821
Y 2.198 -1.853 2.646
Np 0.000 0.000 0.000
S 1.156 0.702 2.427
S 1.050 -2.550 0.237
S 5.662 0.249 9.919
S 3.458 2.098 7.260
S 3.360 -1.148 5.087
```

Computed, not measured: a relaxed structure of KCoSn2H at the PBE level of DFT.

## Properties
total magnetization	1.72	μB/f.u.
N(E_F)	1.063	states/eV/atom

extended XYZ file:
```
5
Lattice="-3.173 -0.353 -3.365 -3.191 -1.337 3.149 -1.199 4.431 0.666" Properties=species:S:1:pos:R:3 pbc="T T T"
H 0.000 0.000 0.000
K -1.596 -0.668 1.575
Co -3.782 1.371 0.225
Sn -0.600 2.216 0.333
Sn -1.586 -0.176 -1.683
```

Computed, not measured: a relaxed structure of NaGd2Rh at the PBE level of DFT.

## Properties
total magnetization	14.46	μB/f.u.
N(E_F)	1.037	states/eV/atom
formation enthalpy at 0 K	-286.1	meV/atom

extended XYZ file:
```
4
Lattice="-3.801 -1.090 0.370 -0.903 -3.665 1.233 -1.559 1.732 10.400" Properties=species:S:1:pos:R:3 pbc="T T T"
Na 0.000 0.000 0.000
Gd -1.562 0.558 6.908
Gd -4.701 -3.581 5.095
Rh -3.132 -1.512 6.001
```

Computed, not measured: a relaxed structure of Li3Pd2Pb3 at the PBE level of DFT.

## Properties
excess energy over the best structure of this formula in the dataset	0.000	eV/atom
total magnetization	0.00	μB/f.u.
N(E_F)	0.388	states/eV/atom
formation enthalpy at 0 K	-330.2	meV/atom

extended XYZ file:
```
8
Lattice="-0.627 -4.491 -1.507 2.927 -1.845 -3.297 5.556 -4.691 4.093" Properties=species:S:1:pos:R:3 pbc="T T T"
Li 2.001 -2.777 -0.134
Li 5.931 -8.292 -0.486
Li 2.145 -4.553 -2.476
Pd 5.511 -4.667 4.040
Pd 3.901 -5.499 -0.387
Pb 3.746 -3.717 1.941
Pb 3.965 -7.233 -2.824
Pb 5.849 -6.549 1.929
```

Computed, not measured: a relaxed structure of TlNi2Pb at the PBE level of DFT.

## Properties
total magnetization	0.00	μB/f.u.
N(E_F)	0.914	states/eV/atom
formation enthalpy at 0 K	510.5	meV/atom

extended XYZ file:
```
8
Lattice="7.173 0.000 0.000 0.000 7.173 0.000 3.587 3.587 3.091" Properties=species:S:1:pos:R:3 pbc="T T T"
Pb 0.000 0.000 0.000
Pb 7.173 3.587 1.546
Ni 5.377 1.793 0.773
Ni 1.796 5.380 0.773
Ni 5.380 5.382 2.318
Ni 8.966 8.964 2.318
Tl 3.587 3.587 0.000
Tl 3.587 7.173 1.546
```

Computed, not measured: a relaxed structure of Ba2BeSi at the PBE level of DFT.

## Properties
excess energy over the best structure of this formula in the dataset	0.444	eV/atom
total magnetization	0.00	μB/f.u.
formation energy (no corrections)	0.290	eV per atom
N(E_F)	1.070	states/eV/atom

extended XYZ file:
```
4
Lattice="-0.471 -1.639 3.666 -2.611 -1.101 -2.884 5.965 -7.440 -2.560" Properties=species:S:1:pos:R:3 pbc="T T T"
Be 3.534 -4.408 -1.517
Si 2.408 -6.295 -1.303
Ba 5.477 -6.831 -2.350
Ba 0.412 -3.805 -0.447
```

Computed, not measured: a relaxed structure of ScFeBr at the PBE level of DFT.

## Properties
total magnetization	0.23	μB/f.u.
formation energy (no corrections)	0.008	eV per atom
N(E_F)	0.889	states/eV/atom

extended XYZ file:
```
3
Lattice="4.112 0.000 0.000 -2.056 3.561 0.000 0.000 0.000 3.307" Properties=species:S:1:pos:R:3 pbc="T T T"
Br 0.000 0.000 0.554
Fe 0.000 2.374 0.546
Sc 2.056 1.187 2.207
```

The evaluated energy for the records listed, in turn: -103.824; -34.701; -94.900; -721.616; -13.308; -78.228; -16.666; -37.977; -29.894; -31.190; -11.833; -16.444 eV/cell.